(1)
6
Lattice="4.548 0.000 0.000 0.000 4.548 0.000 0.000 0.000 6.354" Properties=species:S:1:pos:R:3 comment="Sc4CuIr, relaxed, DFT GGA-PBE" ef_ev_per_atom=-0.328 polymorph_energy_mev_per_atom=0 e_tot_ev_per_atom=-6.708 n_ef_per_ev_fu=9.14 pbc="T T T"
Sc 0.000 2.274 1.561
Sc 0.000 2.274 4.793
Sc 2.274 0.000 1.561
Sc 2.274 0.000 4.793
Cu 0.000 0.000 3.177
Ir 2.274 2.274 0.000

(2)
8
Lattice="-3.603 3.603 2.814 3.603 -3.603 2.814 3.603 3.603 -2.814" Properties=species:S:1:pos:R:3 comment="Sc2CuIr, relaxed, DFT GGA-PBE" ef_ev_per_atom=-0.194 e_tot_ev_per_atom=-6.599 n_ef_per_ev_fu=2.69 pbc="T T T"
Sc 5.404 1.739 -0.703
Sc 1.739 1.801 0.703
Sc -1.801 1.863 2.110
Sc 1.863 1.801 3.517
Cu 3.603 0.000 1.407
Cu 0.000 0.000 2.814
Ir 0.000 0.000 0.000
Ir 0.000 3.603 1.407

(3)
12
Lattice="4.592 0.000 0.000 -2.296 3.976 0.000 0.000 0.000 11.272" Properties=species:S:1:pos:R:3 comment="Sc3Cu2Ir, relaxed, DFT GGA-PBE" ef_ev_per_atom=-0.565 e_tot_ev_per_atom=-6.573 n_ef_per_ev_fu=4.44 pbc="T T T"
Sc 0.000 0.000 2.784
Sc 0.000 0.000 8.487
Sc 0.000 2.651 4.659
Sc 0.000 2.651 10.329
Sc 2.296 1.325 0.942
Sc 2.296 1.325 6.613
Cu 0.000 0.000 0.000
Cu 0.000 0.000 5.636
Cu 0.000 2.651 7.495
Cu 2.296 1.325 3.777
Ir 0.000 2.651 1.871
Ir 2.296 1.325 9.401

(4)
10
Lattice="6.921 0.000 0.000 0.000 6.921 0.000 0.000 0.000 3.387" Properties=species:S:1:pos:R:3 comment="Sc2Cu2Ir, relaxed, DFT GGA-PBE" ef_ev_per_atom=-0.368 polymorph_energy_mev_per_atom=85 e_tot_ev_per_atom=-6.312 n_ef_per_ev_fu=3.98 pbc="T T T"
Sc 1.288 2.173 0.000
Sc 2.173 5.634 0.000
Sc 4.748 1.288 0.000
Sc 5.634 4.748 0.000
Cu 0.827 4.288 1.693
Cu 2.633 0.827 1.693
Cu 4.288 6.094 1.693
Cu 6.094 2.633 1.693
Ir 0.000 0.000 1.693
Ir 3.461 3.461 1.693